No. 1
Be2Cu (PBE, relaxed); excess energy over the best structure of this formula in the dataset = 349 meV per atom; size of the total moment = 0.000 μB/atom; final energy = -0.268 Ry/atom; SG = I4_1/amd, No. 141
1.0
-1.201 1.201 10.465
1.201 -1.201 10.465
1.201 1.201 -10.465
Be Cu
4 2
Cartesian
1.201 0.601 0.952 Be
1.201 0.601 4.280 Be
0.000 0.601 6.185 Be
0.000 0.601 9.513 Be
1.201 -0.601 7.849 Cu
0.000 1.802 2.616 Cu

No. 2
Be2Cu (PBE, relaxed); excess energy over the best structure of this formula in the dataset = 403 meV per atom; size of the total moment = 0.000 μB/atom; final energy = -0.264 Ry/atom; SG = P-6m2, No. 187
1.0
2.420 0.000 0.000
-1.210 2.096 0.000
0.000 0.000 6.033
Be Cu
2 1
Cartesian
0.000 0.000 1.152 Be
0.000 0.000 4.881 Be
0.000 1.397 3.016 Cu

No. 3
Be3Cu (PBE, relaxed); size of the total moment = 0.000 μB/atom; final energy = -0.279 Ry/atom; SG = Pm-3n, No. 223
1.0
4.170 0.000 0.000
0.000 4.170 0.000
0.000 0.000 4.170
Be Cu
6 2
Cartesian
0.000 1.042 2.085 Be
0.000 3.127 2.085 Be
1.042 2.085 0.000 Be
2.085 0.000 1.042 Be
2.085 0.000 3.127 Be
3.127 2.085 0.000 Be
0.000 0.000 0.000 Cu
2.085 2.085 2.085 Cu

No. 4
BeCu (PBE, relaxed); size of the total moment = 0.000 μB/atom; final energy = -0.285 Ry/atom; SG = P-3m1, No. 164
1.0
2.481 0.000 0.000
-1.241 2.149 0.000
0.000 0.000 7.646
Be Cu
2 2
Cartesian
0.000 1.432 0.883 Be
1.241 0.716 6.763 Be
0.000 1.432 4.902 Cu
1.241 0.716 2.744 Cu

No. 5
Be2Cu5 (PBE, relaxed); size of the total moment = 0.000 μB/atom; final energy = -0.293 Ry/atom; SG = Ibam, No. 72
1.0
-2.934 5.461 2.395
2.934 -5.461 2.395
2.934 5.461 -2.395
Be Cu
4 10
Cartesian
1.337 1.367 0.000 Be
1.337 -1.367 2.395 Be
1.597 6.828 0.000 Be
1.597 4.094 2.395 Be
2.934 -2.503 1.197 Cu
4.955 0.930 0.000 Cu
2.934 0.000 1.197 Cu
2.022 4.531 0.000 Cu
2.934 2.503 1.197 Cu
0.000 2.958 1.197 Cu
0.912 0.930 2.395 Cu
0.000 5.461 1.197 Cu
-2.022 4.531 2.395 Cu
0.000 7.964 1.197 Cu

No. 6
Be2Cu3 (PBE, relaxed); excess energy over the best structure of this formula in the dataset = 0 meV per atom; size of the total moment = 0.000 μB/atom; final energy = -0.297 Ry/atom; SG = P4/mmm, No. 123
1.0
2.705 0.000 0.000
0.000 2.705 0.000
0.000 0.000 13.938
Be Cu
4 6
Cartesian
0.000 0.000 1.320 Be
0.000 0.000 3.976 Be
0.000 0.000 9.962 Be
0.000 0.000 12.618 Be
0.000 0.000 6.969 Cu
1.352 1.352 0.000 Cu
1.352 1.352 2.651 Cu
1.352 1.352 5.300 Cu
1.352 1.352 8.638 Cu
1.352 1.352 11.287 Cu

No. 7
BeCu (PBE, relaxed); size of the total moment = 0.000 μB/atom; final energy = -0.286 Ry/atom; SG = R-3m, No. 166
1.0
1.240 0.716 3.810
-1.240 0.716 3.810
0.000 -1.431 3.810
Be Cu
1 1
Cartesian
0.000 0.000 0.000 Be
0.000 0.000 5.715 Cu

No. 8
Be3Cu5 (PBE, relaxed); excess energy over the best structure of this formula in the dataset = 0 meV per atom; size of the total moment = 0.000 μB/atom; final energy = -0.296 Ry/atom; SG = P4/mmm, No. 123
1.0
2.649 0.000 0.000
0.000 2.649 0.000
0.000 0.000 11.742
Be Cu
3 5
Cartesian
0.000 0.000 0.000 Be
1.325 1.325 4.510 Be
1.325 1.325 7.231 Be
0.000 0.000 3.130 Cu
0.000 0.000 5.871 Cu
0.000 0.000 8.612 Cu
1.325 1.325 1.363 Cu
1.325 1.325 10.379 Cu

No. 9
Be3Cu (PBE, relaxed); size of the total moment = 0.000 μB/atom; final energy = -0.281 Ry/atom; SG = R-3m, No. 166
1.0
3.683 2.126 0.769
-3.683 2.126 0.769
0.000 -4.253 0.769
Be Cu
3 1
Cartesian
-1.842 -1.063 0.769 Be
-1.842 1.063 1.539 Be
0.000 2.126 0.769 Be
0.000 0.000 0.000 Cu

No. 10
BeCu (PBE, relaxed); size of the total moment = 0.000 μB/atom; final energy = -0.213 Ry/atom; SG = Pm-3n, No. 223
1.0
5.996 0.000 0.000
0.000 5.996 0.000
0.000 0.000 5.996
Be Cu
6 6
Cartesian
0.000 1.499 2.998 Be
0.000 4.497 2.998 Be
1.499 2.998 0.000 Be
2.998 0.000 1.499 Be
2.998 0.000 4.497 Be
4.497 2.998 0.000 Be
0.000 2.998 1.499 Cu
0.000 2.998 4.497 Cu
1.499 0.000 2.998 Cu
2.998 1.499 0.000 Cu
2.998 4.497 0.000 Cu
4.497 0.000 2.998 Cu

No. 11
BeCu (PBE, relaxed); size of the total moment = 0.000 μB/atom; final energy = -0.276 Ry/atom; SG = P-62m, No. 189
1.0
5.529 0.000 0.000
-2.764 4.788 0.000
0.000 0.000 2.449
Be Cu
3 3
Cartesian
-0.643 1.114 0.000 Be
1.287 0.000 0.000 Be
2.121 3.673 0.000 Be
-1.627 2.817 1.225 Cu
1.138 1.970 1.225 Cu
3.253 0.000 1.225 Cu

No. 12
Be3Cu (PBE, relaxed); size of the total moment = 0.000 μB/atom; final energy = -0.284 Ry/atom; SG = Pm-3m, No. 221
1.0
3.292 0.000 0.000
0.000 3.292 0.000
0.000 0.000 3.292
Be Cu
3 1
Cartesian
0.000 0.000 1.646 Be
0.000 1.646 0.000 Be
1.646 0.000 0.000 Be
1.646 1.646 1.646 Cu